BeAgBRu2 | meta-GGA SCAN | single point on PBEsol structure

a b c (Å): 4.050 4.050 4.017
angles (deg): 90.00 90.00 90.00
Element x y z (fractional)
Be 0.000 0.000 0.000
Ag 0.000 0.000 0.500
B 0.500 0.500 0.500
Ru 0.000 0.500 0.000
Ru 0.500 0.000 0.000

Calculated values
The calculation puts the magnetization at 1.98 μB per formula unit. The value obtained for the density of states at the Fermi level is 2.45 states/eV per cell. Its calculated formation energy is 1321.1 meV/atom.